## AgP2I (GGA-PBE)

Data for a relaxed AgP2I crystal.

Computed properties:
Excess energy over the best structure of this formula in the dataset in meV per atom: 0
Uncorrected formation energy in eV per formula unit: 3.2

Geometry as POSCAR:
```
AgP2I
1.0
-2.935 2.935 6.452
2.935 -2.935 6.452
2.935 2.935 -6.452
Ag P I
2 4 2
Cartesian
0.000 0.000 0.000
0.000 2.935 3.226
4.403 1.107 -1.613
1.107 1.468 1.613
-1.468 1.828 4.839
1.828 1.468 8.065
2.935 0.000 3.226
0.000 0.000 6.452
```

---

## AlFeAs2 (GGA-PBE)

Data for a relaxed AlFeAs2 crystal.

Computed properties:
E_tot in eV/atom: -5.32

Geometry as POSCAR:
```
AlFeAs2
1.0
3.731 0.000 0.000
0.000 3.941 0.000
-0.047 0.000 5.211
Al Fe As
1 1 2
Cartesian
0.000 0.000 0.000
0.016 1.971 1.574
0.020 0.000 2.692
1.880 1.971 0.199
```

---

## Tb12CeDy7 (GGA-PBE)

Data for a relaxed Tb12CeDy7 crystal.

Computed properties:
Excess energy over the best structure of this formula in the dataset in meV per atom: 537

Geometry as POSCAR:
```
Tb12CeDy7
1.0
-5.663 5.663 5.663
5.663 -5.663 5.663
5.663 5.663 -5.663
Tb Ce Dy
12 1 7
Cartesian
5.663 -2.764 2.776
2.899 2.887 0.000
8.427 2.887 0.000
2.776 5.663 -2.764
2.887 0.000 2.899
5.663 2.764 2.776
0.000 2.899 2.887
2.776 5.663 2.764
2.887 0.000 8.427
-2.764 2.776 5.663
2.764 2.776 5.663
0.000 8.427 2.887
0.000 0.000 0.000
2.832 2.832 -2.832
2.832 -2.832 2.832
5.663 0.000 0.000
-2.832 2.832 2.832
0.000 5.663 0.000
0.000 0.000 5.663
2.832 2.832 2.832
```

---

## AcScNi2H8 (GGA-PBE)

Data for a relaxed AcScNi2H8 crystal.

Computed properties:
E_tot in eV/atom: -4.34

Geometry as POSCAR:
```
AcScNi2H8
1.0
2.312 1.335 6.508
-2.312 1.335 6.508
0.000 -2.669 6.508
Ac Sc Ni H
1 1 2 8
Cartesian
0.000 0.000 0.000
0.000 0.000 9.762
0.000 0.000 4.574
0.000 0.000 14.950
-0.749 -1.478 8.596
-1.655 -0.090 10.928
0.000 0.000 6.162
-0.906 1.388 8.596
0.906 -1.388 10.928
0.000 0.000 13.362
1.655 0.090 8.596
0.749 1.478 10.928
```

---

## MnFe2Si (GGA-PBE)

Data for a relaxed MnFe2Si crystal.

Computed properties:
Uncorrected formation energy in eV per formula unit: -1.0

Geometry as POSCAR:
```
MnFe2Si
1.0
3.566 0.000 0.000
0.000 3.566 0.000
0.000 0.000 3.606
Mn Fe Si
1 2 1
Cartesian
0.000 0.000 0.000
0.000 1.783 1.803
1.783 0.000 1.803
1.783 1.783 0.000
```

---

## Ca2Mg3Tl4 (GGA-PBE)

Data for a relaxed Ca2Mg3Tl4 crystal.

Computed properties:
E_tot in eV/atom: -2.22

Geometry as POSCAR:
```
Ca2Mg3Tl4
1.0
3.321 -8.767 0.000
3.321 8.767 0.000
0.000 0.000 8.481
Ca Mg Tl
4 6 8
Cartesian
3.321 6.927 7.674
3.321 1.840 3.433
3.321 -1.840 5.048
3.321 -6.927 0.807
0.000 0.000 4.240
1.661 4.023 6.361
1.661 -4.023 2.120
3.321 0.000 0.000
4.982 4.023 6.361
4.982 -4.023 2.120
3.321 5.723 4.460
1.661 1.019 6.361
1.661 -1.019 2.120
3.321 3.044 0.219
3.321 -3.044 8.262
4.982 1.019 6.361
4.982 -1.019 2.120
3.321 -5.723 4.021
```

---

Computed calculated volume, in the same sequence as the records: 27.80; 19.15; 36.33; 10.04; 11.46; 27.44 A^3/atom.